# 1
Material: AcLaAg4
Method: DFT, GGA-PBE
State: relaxed

Calculated values
Size of the total moment: 0.00 μB per formula unit

Lattice parameters (Å, degrees): 4.8742 7.7068 8.3956 90.00 90.00 90.00
Last column: nearest neighbours and their distance in Å.
Space group Immm (No. 71)
Symmetry-distinct sites (fractional):
Ac (0.0000, 0.0000, 0.0000) [2 per cell]  12 Ag 3.37-3.44
La (0.0000, 0.5000, 0.0000) [2 per cell]  12 Ag 3.38-3.43
Ag (0.0000, 0.2428, 0.3331) [8 per cell]  3 Ag 2.80-2.81

=====

# 2
Material: Ac2LaAg5
Method: DFT, GGA-PBE
State: relaxed

Calculated values
Size of the total moment: 0.00 μB per formula unit

Lattice parameters (Å, degrees): 5.4338 5.4338 14.8003 90.00 90.00 90.00
Last column: nearest neighbours and their distance in Å.
Space group I4/mmm (No. 139)
Symmetry-distinct sites (fractional):
Ac (0.0000, 0.0000, 0.2269) [4 per cell]  5 Ag 3.24-3.36
La (0.0000, 0.0000, 0.5000) [2 per cell]  8 Ag 3.15
Ag (0.0000, 0.0000, 0.0000) [2 per cell]  8 Ag 3.15, 2 Ac 3.36
Ag (0.0000, 0.5000, 0.1074) [8 per cell]  2 La 3.15, 3 Ag 3.15-3.18, 2 Ac 3.24

=====

# 3
Material: Ac4LaAg5
Method: DFT, GGA-PBE
State: relaxed

Calculated values
Size of the total moment: 0.00 μB per formula unit

Lattice parameters (Å, degrees): 3.9221 3.9221 19.8160 90.00 90.00 90.00
Last column: nearest neighbours and their distance in Å.
Space group P4/mmm (No. 123)
Symmetry-distinct sites (fractional):
Ac (0.0000, 0.0000, 0.1015) [2 per cell]  8 Ag 3.42-3.43
Ac (0.0000, 0.0000, 0.3041) [2 per cell]  8 Ag 3.42-3.46
La (0.0000, 0.0000, 0.5000) [1 per cell]  8 Ag 3.32
Ag (0.5000, 0.5000, 0.0000) [1 per cell]  8 Ac 3.43
Ag (0.5000, 0.5000, 0.2028) [2 per cell]  8 Ac 3.42
Ag (0.5000, 0.5000, 0.4081) [2 per cell]  4 La 3.32, 4 Ac 3.46, 1 Ag 3.64

=====

# 4
Material: AcLaAg2
Method: DFT, GGA-PBE
State: relaxed

Calculated values
Size of the total moment: 0.00 μB per formula unit

Lattice parameters (Å, degrees): 7.7934 7.7934 7.7934 90.00 90.00 90.00
Last column: nearest neighbours and their distance in Å.
Space group Fm-3m (No. 225)
Symmetry-distinct sites (fractional):
Ac (0.0000, 0.0000, 0.0000) [4 per cell]  8 Ag 3.37
La (0.0000, 0.0000, 0.5000) [4 per cell]  8 Ag 3.37
Ag (0.2500, 0.2500, 0.2500) [8 per cell]  4 La 3.37, 4 Ac 3.37

=====

# 5
Material: Ac2LaAg2
Method: DFT, GGA-PBE
State: relaxed

Calculated values
Size of the total moment: 0.00 μB per formula unit

Lattice parameters (Å, degrees): 6.6639 4.3735 12.0598 90.00 94.18 90.00
Last column: nearest neighbours and their distance in Å.
Space group P2_1/m (No. 11)
Symmetry-distinct sites (fractional):
Ac (0.1105, 0.2500, 0.3762) [2 per cell]  5 Ag 3.26-3.56
Ac (0.2819, 0.2500, 0.0611) [2 per cell]  4 Ag 3.29-3.62
La (0.3889, 0.2500, 0.7175) [2 per cell]  5 Ag 3.16-3.44
Ag (0.1837, 0.7500, 0.8611) [2 per cell]  2 La 3.16, 4 Ac 3.29-3.35
Ag (0.3719, 0.7500, 0.5261) [2 per cell]  2 Ag 2.87, 2 La 3.18

=====

# 6
Material: AcLaAg3
Method: DFT, GGA-PBE
State: relaxed

Calculated values
Size of the total moment: 0.00 μB per formula unit

Lattice parameters (Å, degrees): 3.8866 29.4045 4.8860 90.00 90.00 90.00
Last column: nearest neighbours and their distance in Å.
Space group Cmcm (No. 63)
Symmetry-distinct sites (fractional):
Ac (0.0000, 0.2051, 0.2500) [4 per cell]  6 Ag 3.27-3.31
La (0.0000, 0.0700, 0.7500) [4 per cell]  12 Ag 3.33-3.46
Ag (0.0000, 0.3325, 0.2500) [4 per cell]  2 Ag 2.88
Ag (0.0000, 0.3844, 0.7500) [4 per cell]  3 Ag 2.75-2.88
Ag (0.0000, 0.4779, 0.7500) [4 per cell]  3 Ag 2.75-2.77

=====

# 7
Material: AcLaAg4
Method: DFT, GGA-PBE
State: relaxed

Calculated values
Size of the total moment: 0.00 μB per formula unit

Lattice parameters (Å, degrees): 4.8680 4.8680 7.6729 90.00 90.00 120.00
Last column: nearest neighbours and their distance in Å.
Space group P6/mmm (No. 191)
Symmetry-distinct sites (fractional):
Ac (0.0000, 0.0000, 0.0000) [1 per cell]  12 Ag 3.47, 2 La 3.84
La (0.0000, 0.0000, 0.5000) [1 per cell]  12 Ag 3.34
Ag (0.3333, 0.6667, 0.2654) [4 per cell]  3 Ag 2.81

=====

# 8
Material: AcLa2Ag6
Method: DFT, GGA-PBE
State: relaxed

Calculated values
Size of the total moment: 0.00 μB per formula unit

Lattice parameters (Å, degrees): 3.8840 8.1347 15.0528 90.00 90.00 90.00
Last column: nearest neighbours and their distance in Å.
Space group Immm (No. 71)
Symmetry-distinct sites (fractional):
Ac (0.0000, 0.0000, 0.0000) [2 per cell]  12 Ag 3.27-3.59
La (0.0000, 0.5000, 0.1412) [4 per cell]  10 Ag 3.14-3.28
Ag (0.0000, 0.1772, 0.5000) [4 per cell]  3 Ag 2.87-2.88
Ag (0.0000, 0.3183, 0.3250) [8 per cell]  4 Ag 2.87-3.18, 1 La 3.14

=====

Let's list ΔH_f (0 K) in order: -6.683; -4.219; -5.994; -5.792; -2.706; -5.955; -6.813; -4.672 kcal/mol of atoms.